GGA-PBE SnBBr3, optimized geometry; symmetry = No. 221; raw formation energy = 0.339 eV per atom
1.0
4.8987 0.0000 0.0000
0.0000 4.8987 0.0000
0.0000 0.0000 4.8987
Br B Sn
3 1 1
direct
0.0000 0.5000 0.0000
0.5000 0.0000 0.0000
0.0000 0.0000 0.5000
0.0000 0.0000 0.0000
0.5000 0.5000 0.5000

***

GGA-PBE Ba3CdPt, optimized geometry; symmetry = No. 221; E above lowest polymorph = 52.9 meV per atom
1.0
6.1883 0.0000 0.0000
0.0000 6.1883 0.0000
0.0000 0.0000 6.1883
Cd Pt Ba
1 1 3
direct
0.5000 0.5000 0.5000
0.0000 0.0000 0.0000
0.0000 0.0000 0.5000
0.0000 0.5000 0.0000
0.5000 0.0000 0.0000

***

GGA-PBE MgCrIrRh, optimized geometry; symmetry = No. 216
1.0
4.3192 0.0000 0.0000
2.1596 3.7405 0.0000
2.1596 1.2468 3.5266
Rh Cr Ir Mg
1 1 1 1
direct
0.2500 0.2500 0.2500
0.5000 0.5000 0.5000
0.7500 0.7500 0.7500
0.0000 0.0000 0.0000

***

GGA-PBE PrCr2S4, optimized geometry; symmetry = No. 141; raw formation energy = -1.011 eV per atom
1.0
6.8450 0.2678 -2.1152
-3.6539 5.7944 -2.1153
-0.1429 -0.2713 7.1659
Cr S Pr
4 8 2
direct
0.6250 0.3750 0.7500
0.6250 0.8750 0.2501
0.6250 0.3750 0.2499
0.1250 0.3750 0.7500
0.3366 0.1579 0.8218
0.3361 0.5148 0.1782
0.8421 0.6635 0.1784
0.7648 0.0861 0.6781
0.4079 0.0867 0.3219
0.4852 0.6637 0.8216
0.9136 0.2352 0.3215
0.9136 0.5921 0.6785
0.0000 0.0000 0.0000
0.2500 0.7500 0.5000

***

no.,DFT total energy (eV per formula unit)
1,-14.01
2,-14.74
3,-28.31
4,-47.61